1.
A relaxed Ba2GeRhCl crystal. Source: Alexandria via LeMat-Bulk, functional PBE.

Calculated values
Calculated total energy ... -0.1645 Ha/atom

Cell: 6.110 6.110 4.671 Å, 90.00 90.00 90.00°
Positions (direct):
Ba (0.000, 0.500, 0.000)
Ba (0.500, 0.000, 0.000)
Ge (0.000, 0.000, 0.500)
Rh (0.000, 0.000, 0.000)
Cl (0.500, 0.500, 0.500)



2.
A relaxed RbHg12Au6 crystal. Source: Alexandria via LeMat-Bulk, functional PBE.

Calculated values
Calculated total energy ... -0.0472 Ha/atom

Cell: 8.168 8.168 8.168 Å, 104.15 104.15 104.15°
Positions (direct):
Rb (0.000, 0.000, 0.000)
Hg (0.115, 0.500, 0.885)
Hg (0.115, 0.885, 0.500)
Hg (0.150, 0.410, 0.410)
Hg (0.410, 0.150, 0.410)
Hg (0.410, 0.410, 0.150)
Hg (0.500, 0.115, 0.885)
Hg (0.500, 0.885, 0.115)
Hg (0.590, 0.590, 0.850)
Hg (0.590, 0.850, 0.590)
Hg (0.850, 0.590, 0.590)
Hg (0.885, 0.115, 0.500)
Hg (0.885, 0.500, 0.115)
Au (0.267, 0.267, 0.699)
Au (0.267, 0.699, 0.267)
Au (0.301, 0.733, 0.733)
Au (0.699, 0.267, 0.267)
Au (0.733, 0.301, 0.733)
Au (0.733, 0.733, 0.301)



3.
A relaxed RbPb3Au crystal. Source: Alexandria via LeMat-Bulk, functional PBE.

Calculated values
Calculated total energy ... -0.0640 Ha/atom

Cell: 6.182 6.182 6.182 Å, 90.00 90.00 90.00°
Positions (direct):
Rb (0.000, 0.000, 0.000)
Pb (0.000, 0.000, 0.500)
Pb (0.000, 0.500, 0.000)
Pb (0.500, 0.000, 0.000)
Au (0.500, 0.500, 0.500)



4.
A relaxed TiZnCdRh2 crystal. Source: Alexandria via LeMat-Bulk, functional PBE.

Calculated values
Calculated total energy ... -0.1572 Ha/atom

Cell: 4.577 4.577 4.593 Å, 90.00 90.00 90.00°
Positions (direct):
Ti (0.000, 0.000, 0.000)
Zn (0.500, 0.500, 0.500)
Cd (0.500, 0.500, 0.000)
Rh (0.000, 0.500, 0.500)
Rh (0.500, 0.000, 0.500)



5.
A relaxed Tb3Nd5Tm2 crystal. Source: Alexandria via LeMat-Bulk, functional PBE.

Calculated values
Calculated total energy ... -0.1650 Ha/atom

Cell: 9.163 9.163 10.046 Å, 108.14 108.14 108.47°
Positions (direct):
Tb (0.030, 0.280, 0.057)
Tb (0.229, 0.771, 0.750)
Tb (0.280, 0.030, 0.557)
Tb (0.720, 0.970, 0.443)
Tb (0.771, 0.229, 0.250)
Tb (0.970, 0.720, 0.943)
Nd (0.023, 0.977, 0.750)
Nd (0.118, 0.376, 0.742)
Nd (0.272, 0.728, 0.250)
Nd (0.376, 0.118, 0.242)
Nd (0.482, 0.518, 0.250)
Nd (0.518, 0.482, 0.750)
Nd (0.624, 0.882, 0.758)
Nd (0.728, 0.272, 0.750)
Nd (0.882, 0.624, 0.258)
Nd (0.977, 0.023, 0.250)
Tm (0.219, 0.475, 0.442)
Tm (0.475, 0.219, 0.942)
Tm (0.525, 0.781, 0.058)
Tm (0.781, 0.525, 0.558)



6.
A relaxed CuPt2Rh crystal. Source: Alexandria via LeMat-Bulk, functional PBE.

Calculated values
Calculated total energy ... -0.2153 Ha/atom

Cell: 2.720 2.720 9.203 Å, 90.00 90.00 119.67°
Positions (direct):
Cu (0.000, 0.000, 0.000)
Pt (0.500, 0.500, 0.242)
Pt (0.500, 0.500, 0.758)
Rh (0.000, 0.000, 0.500)



7.
A relaxed SmCo3P2 crystal. Source: Alexandria via LeMat-Bulk, functional PBE.

Calculated values
Calculated total energy ... -0.2578 Ha/atom

Cell: 7.729 7.729 9.168 Å, 106.30 106.30 27.62°
Positions (direct):
Sm (0.000, 0.000, 0.000)
Sm (0.155, 0.155, 0.700)
Sm (0.845, 0.845, 0.300)
Co (0.049, 0.049, 0.339)
Co (0.218, 0.218, 0.395)
Co (0.322, 0.322, 0.031)
Co (0.372, 0.372, 0.787)
Co (0.500, 0.500, 0.500)
Co (0.628, 0.628, 0.213)
Co (0.678, 0.678, 0.969)
Co (0.782, 0.782, 0.605)
Co (0.951, 0.951, 0.661)
P (0.198, 0.198, 0.131)
P (0.359, 0.359, 0.546)
P (0.470, 0.470, 0.227)
P (0.530, 0.530, 0.773)
P (0.641, 0.641, 0.454)
P (0.802, 0.802, 0.869)



8.
A relaxed Na2CdBiSe crystal. Source: Alexandria via LeMat-Bulk, functional PBE.

Calculated values
Calculated total energy ... -0.0801 Ha/atom

Cell: 6.060 6.060 5.656 Å, 90.00 90.00 90.00°
Positions (direct):
Na (0.000, 0.500, 0.000)
Na (0.500, 0.000, 0.000)
Cd (0.000, 0.000, 0.500)
Bi (0.500, 0.500, 0.000)
Se (0.500, 0.500, 0.500)



9.
A relaxed MnFe5Ge2 crystal. Source: Alexandria via LeMat-Bulk, functional PBE.

Calculated values
Calculated total energy ... -0.2775 Ha/atom

Cell: 6.287 6.287 6.287 Å, 154.15 106.60 79.30°
Positions (direct):
Mn (0.000, 0.000, 0.000)
Fe (0.159, 0.374, 0.786)
Fe (0.412, 0.626, 0.786)
Fe (0.500, 0.000, 0.500)
Fe (0.588, 0.374, 0.214)
Fe (0.841, 0.626, 0.214)
Ge (0.237, 0.737, 0.500)
Ge (0.763, 0.263, 0.500)



10.
A relaxed Dy6In6Pb crystal. Source: Alexandria via LeMat-Bulk, functional PBE.

Calculated values
Calculated total energy ... -0.1464 Ha/atom

Cell: 6.383 6.383 10.453 Å, 90.00 90.00 120.00°
Positions (direct):
Dy (0.000, 0.000, 0.187)
Dy (0.000, 0.000, 0.813)
Dy (0.333, 0.667, 0.000)
Dy (0.333, 0.667, 0.500)
Dy (0.667, 0.333, 0.000)
Dy (0.667, 0.333, 0.500)
In (0.000, 0.500, 0.248)
In (0.000, 0.500, 0.752)
In (0.500, 0.000, 0.248)
In (0.500, 0.000, 0.752)
In (0.500, 0.500, 0.248)
In (0.500, 0.500, 0.752)
Pb (0.000, 0.000, 0.500)



Size of the total moment values (in Bohr magnetons per cell) by entry order: 0.00; 0.00; 0.00; 0.01; 0.00; 0.00; 0.00; 0.00; 14.13; 0.00.